This record from Alexandria describes an optimized crystal structure of K2Y2MoO6. The functional is GGA+U.

Crystal system ... monoclinic
DFT total energy ... -7.204 eV per atom

Cell lengths 5.817, 5.817, 6.614 Å; angles 98.31, 98.31, 119.08 degrees
Each line ends with the local moment (μB).
Fractional coordinates of all 11 atoms:
Y: 0.337 0.663 0.500  0.01
Y: 0.663 0.337 0.500  0.01
Mo: 0.000 0.000 0.500  1.84
K: 0.837 0.163 0.000  0.00
K: 0.163 0.837 0.000  0.00
O: 0.949 0.638 0.329  0.01
O: 0.258 0.258 0.322  0.03
O: 0.742 0.742 0.678  0.03
O: 0.051 0.362 0.671  0.01
O: 0.638 0.949 0.329  0.01
O: 0.362 0.051 0.671  0.01